Record 1
# GGA-PBE Sm4Cd3Ru, relaxed
data_Sm4Cd3Ru
_chemical_formula_sum 'Sm4 Cd3 Ru1'
_cell_length_a 3.601
_cell_length_b 3.601
_cell_length_c 16.043
_cell_angle_alpha 90.00
_cell_angle_beta 90.00
_cell_angle_gamma 90.00
_symmetry_space_group_name_H-M 'P 1'
_symmetry_Int_Tables_number 1
loop_
_symmetry_equiv_pos_as_xyz
'x,y,z'
loop_
_atom_site_label
_atom_site_type_symbol
_atom_site_fract_x
_atom_site_fract_y
_atom_site_fract_z
Sm1 Sm 0.000 0.000 0.103
Sm2 Sm 0.000 0.000 0.370
Sm3 Sm 0.000 0.000 0.630
Sm4 Sm 0.000 0.000 0.897
Cd1 Cd 0.500 0.500 0.242
Cd2 Cd 0.500 0.500 0.500
Cd3 Cd 0.500 0.500 0.758
Ru1 Ru 0.500 0.500 0.000
# Formation enthalpy at 0 K = -0.30 eV/atom

Record 2
# GGA-PBE Cr2PC, relaxed
data_Cr2PC
_chemical_formula_sum 'Cr4 P2 C2'
_cell_length_a 5.771
_cell_length_b 5.771
_cell_length_c 5.771
_cell_angle_alpha 129.10
_cell_angle_beta 129.10
_cell_angle_gamma 74.84
_symmetry_space_group_name_H-M 'P 1'
_symmetry_Int_Tables_number 1
loop_
_symmetry_equiv_pos_as_xyz
'x,y,z'
loop_
_atom_site_label
_atom_site_type_symbol
_atom_site_fract_x
_atom_site_fract_y
_atom_site_fract_z
Cr1 Cr 0.061 0.625 0.936
Cr2 Cr 0.375 0.311 0.436
Cr3 Cr 0.689 0.125 0.064
Cr4 Cr 0.875 0.939 0.564
P1 P 0.250 0.750 0.500
P2 P 0.500 0.500 0.000
C1 C 0.000 0.000 0.000
C2 C 0.750 0.250 0.500
# Formation enthalpy at 0 K = 0.24 eV/atom

Record 3
# GGA-PBE La3PbO2, relaxed
data_La3PbO2
_chemical_formula_sum 'La3 Pb1 O2'
_cell_length_a 7.011
_cell_length_b 7.011
_cell_length_c 7.011
_cell_angle_alpha 139.42
_cell_angle_beta 139.42
_cell_angle_gamma 58.73
_symmetry_space_group_name_H-M 'P 1'
_symmetry_Int_Tables_number 1
loop_
_symmetry_equiv_pos_as_xyz
'x,y,z'
loop_
_atom_site_label
_atom_site_type_symbol
_atom_site_fract_x
_atom_site_fract_y
_atom_site_fract_z
La1 La 0.000 0.000 0.000
La2 La 0.250 0.750 0.500
La3 La 0.750 0.250 0.500
Pb1 Pb 0.500 0.500 0.000
O1 O 0.198 0.198 0.000
O2 O 0.802 0.802 0.000
# Formation energy without anion corrections = -12.96 eV per formula unit

Record 4
# GGA-PBE RbCd2GeRu, relaxed
data_RbCd2GeRu
_chemical_formula_sum 'Rb1 Cd2 Ge1 Ru1'
_cell_length_a 5.362
_cell_length_b 5.362
_cell_length_c 4.741
_cell_angle_alpha 90.00
_cell_angle_beta 90.00
_cell_angle_gamma 90.00
_symmetry_space_group_name_H-M 'P 1'
_symmetry_Int_Tables_number 1
loop_
_symmetry_equiv_pos_as_xyz
'x,y,z'
loop_
_atom_site_label
_atom_site_type_symbol
_atom_site_fract_x
_atom_site_fract_y
_atom_site_fract_z
Rb1 Rb 0.000 0.000 0.000
Cd1 Cd 0.000 0.500 0.500
Cd2 Cd 0.500 0.000 0.500
Ge1 Ge 0.500 0.500 0.000
Ru1 Ru 0.500 0.500 0.500
# Formation enthalpy at 0 K = -0.04 eV/atom

Record 5
# GGA-PBE BeFe2P, relaxed
data_BeFe2P
_chemical_formula_sum 'Be1 Fe2 P1'
_cell_length_a 7.545
_cell_length_b 7.545
_cell_length_c 7.545
_cell_angle_alpha 19.82
_cell_angle_beta 19.82
_cell_angle_gamma 19.82
_symmetry_space_group_name_H-M 'P 1'
_symmetry_Int_Tables_number 1
loop_
_symmetry_equiv_pos_as_xyz
'x,y,z'
loop_
_atom_site_label
_atom_site_type_symbol
_atom_site_fract_x
_atom_site_fract_y
_atom_site_fract_z
Be1 Be 0.000 0.000 0.000
Fe1 Fe 0.505 0.505 0.505
Fe2 Fe 0.746 0.746 0.746
P1 P 0.246 0.246 0.246
# Relative energy among the computed polymorphs = 525 meV per atom
# Formation enthalpy at 0 K = 0.08 eV/atom

Record 6
# GGA-PBE Th4Bi2SbAs, relaxed
data_Th4Bi2SbAs
_chemical_formula_sum 'Th4 Bi2 Sb1 As1'
_cell_length_a 7.775
_cell_length_b 4.451
_cell_length_c 7.836
_cell_angle_alpha 90.00
_cell_angle_beta 109.06
_cell_angle_gamma 90.00
_symmetry_space_group_name_H-M 'P 1'
_symmetry_Int_Tables_number 1
loop_
_symmetry_equiv_pos_as_xyz
'x,y,z'
loop_
_atom_site_label
_atom_site_type_symbol
_atom_site_fract_x
_atom_site_fract_y
_atom_site_fract_z
Th1 Th 0.228 0.000 0.221
Th2 Th 0.243 0.500 0.771
Th3 Th 0.757 0.500 0.229
Th4 Th 0.772 0.000 0.779
Bi1 Bi 0.000 0.000 0.500
Bi2 Bi 0.500 0.500 0.500
Sb1 Sb 0.500 0.000 0.000
As1 As 0.000 0.500 0.000
# Formation energy without anion corrections = -6.85 eV per formula unit

Record 7
# GGA-PBE NdTmGaPt, relaxed
data_NdTmGaPt
_chemical_formula_sum 'Nd1 Tm1 Ga1 Pt1'
_cell_length_a 4.339
_cell_length_b 5.980
_cell_length_c 5.980
_cell_angle_alpha 37.51
_cell_angle_beta 90.00
_cell_angle_gamma 90.00
_symmetry_space_group_name_H-M 'P 1'
_symmetry_Int_Tables_number 1
loop_
_symmetry_equiv_pos_as_xyz
'x,y,z'
loop_
_atom_site_label
_atom_site_type_symbol
_atom_site_fract_x
_atom_site_fract_y
_atom_site_fract_z
Nd1 Nd 0.000 0.000 0.000
Tm1 Tm 0.500 0.286 0.286
Ga1 Ga 0.500 0.580 0.580
Pt1 Pt 0.000 0.730 0.730
# Relative energy among the computed polymorphs = 0 meV per atom
# Formation enthalpy at 0 K = -0.89 eV/atom

Record 8
# GGA-PBE Cr3Ir2, relaxed
data_Cr3Ir2
_chemical_formula_sum 'Cr3 Ir2'
_cell_length_a 10.353
_cell_length_b 10.353
_cell_length_c 10.353
_cell_angle_alpha 15.12
_cell_angle_beta 15.12
_cell_angle_gamma 15.12
_symmetry_space_group_name_H-M 'P 1'
_symmetry_Int_Tables_number 1
loop_
_symmetry_equiv_pos_as_xyz
'x,y,z'
loop_
_atom_site_label
_atom_site_type_symbol
_atom_site_fract_x
_atom_site_fract_y
_atom_site_fract_z
Cr1 Cr 0.000 0.000 0.000
Cr2 Cr 0.193 0.193 0.193
Cr3 Cr 0.807 0.807 0.807
Ir1 Ir 0.401 0.401 0.401
Ir2 Ir 0.599 0.599 0.599
# Relative energy among the computed polymorphs = 98 meV per atom
# Formation enthalpy at 0 K = 0.08 eV/atom